1.
Here is a relaxed Rb2Mn3Br10 crystal from Alexandria. Energies are from PBE.

Formation energy (no corrections): -0.9768 eV per atom

```
30
Lattice="1.601 -1.343 -7.244 -2.983 -10.179 1.228 -10.562 7.721 0.158" Properties=species:S:1:pos:R:3 pbc="T T T"
Rb -4.685 -0.330 -4.897
Rb -7.259 -3.471 -0.960
Rb -3.963 -6.722 -3.553
Rb -7.981 2.921 -2.305
Mn -9.262 -0.146 -5.943
Mn -2.682 -3.655 0.085
Mn -8.365 -5.997 -4.660
Mn -3.579 2.196 -1.198
Mn 1.194 -1.002 -5.402
Mn 0.407 -0.341 -1.842
Br -9.913 -4.504 -3.311
Br -10.711 -3.834 0.300
Br -2.031 0.703 -2.546
Br -1.233 0.033 -6.158
Br -8.303 -0.580 -3.792
Br -9.145 0.126 0.021
Br -3.642 -3.221 -2.066
Br -2.799 -3.928 -5.878
Br -11.147 -2.149 -5.988
Br -0.797 -1.652 0.130
Br -6.975 2.305 -5.892
Br -4.969 -6.107 0.034
Br -6.523 -4.359 -4.556
Br -5.422 0.558 -1.302
Br -11.977 -1.497 -2.369
Br 0.033 -2.304 -3.489
Br -0.241 -6.139 -5.045
Br -1.141 -5.383 -0.971
Br -4.481 3.189 -3.543
Br -5.281 3.861 0.079
```


2.
Here is a relaxed RbMn2Br4 crystal from Alexandria. Energies are from PBE.

Formation energy (no corrections): -0.8542 eV per atom

```
7
Lattice="6.960 -0.832 0.000 -4.080 5.700 0.000 -1.440 -2.434 6.414" Properties=species:S:1:pos:R:3 pbc="T T T"
Rb 1.440 2.434 0.000
Mn -2.040 2.850 3.207
Mn 3.480 -0.416 3.207
Br 0.985 -0.583 2.653
Br 4.677 0.519 1.145
Br -3.237 1.915 5.269
Br 0.455 3.017 3.761
```


3.
Here is a relaxed Rb3Mn2Br9 crystal from Alexandria. Energies are from PBE.

Formation energy (no corrections): -1.1423 eV per atom

```
28
Lattice="-6.761 -2.382 6.965 -7.665 -2.864 -5.740 1.050 -9.935 0.302" Properties=species:S:1:pos:R:3 pbc="T T T"
Rb -8.451 -3.994 -1.401
Rb -8.073 -9.040 -3.323
Rb -10.409 -6.339 3.068
Rb -2.966 -8.841 -1.541
Rb -5.302 -6.140 4.850
Rb -4.924 -11.186 2.928
Mn -2.204 -2.501 0.252
Mn -8.892 -10.092 1.015
Mn -11.171 -12.679 1.275
Mn -4.484 -5.089 0.512
Br -11.753 -4.975 -0.027
Br -7.570 -5.579 -4.556
Br -4.724 -2.675 -0.575
Br -9.509 -7.940 -0.074
Br -10.175 -11.462 -0.867
Br -11.269 -10.189 2.200
Br -5.498 -6.117 -1.516
Br -6.629 -4.793 1.741
Br -8.253 -4.016 4.994
Br -5.122 -11.164 -3.467
Br -6.747 -10.387 -0.214
Br -3.201 -3.719 2.394
Br -7.878 -9.063 3.043
Br -2.107 -4.991 -0.673
Br -3.866 -7.241 1.601
Br -8.651 -12.505 2.102
Br -5.805 -9.601 6.083
Br -1.622 -10.205 1.554
```


4.
Here is a relaxed Rb4MnBr7 crystal from Alexandria. Energies are from PBE.

Formation energy (no corrections): -1.3802 eV per atom

```
12
Lattice="5.327 0.000 1.772 1.925 9.969 3.107 -0.153 0.929 9.353" Properties=species:S:1:pos:R:3 pbc="T T T"
Rb 3.336 3.146 7.760
Rb 3.764 7.752 6.471
Rb 5.023 7.750 11.579
Rb 2.076 3.148 2.652
Mn 0.000 0.000 0.000
Br 4.542 0.334 4.133
Br 2.558 10.564 10.098
Br 1.812 7.537 3.448
Br 5.288 3.362 10.784
Br 2.818 6.230 9.314
Br 2.664 0.000 0.886
Br 4.281 4.668 4.917
```


Number 1: DOS at the Fermi energy 0.186 states/eV per atom, size of the total moment 3.33 μB per formula unit, theoretical density 3990 kg/m³. Number 2: DOS at the Fermi energy 0.150 states/eV per atom, size of the total moment 9.00 μB per formula unit, theoretical density 3675 kg/m³. Number 3: DOS at the Fermi energy 0.429 states/eV per atom, size of the total moment 8.00 μB per formula unit, theoretical density 3788 kg/m³. Number 4: DOS at the Fermi energy 0.092 states/eV per atom, size of the total moment 4.00 μB per formula unit, theoretical density 3259 kg/m³.